Y2In2P | GGA-PBE | optimized geometry

a b c (Å): 7.355 7.355 5.022
angles (deg): 90.00 90.00 90.00
Space group P4/mbm (No. 127)
Asymmetric unit:
Y 0.170 0.330 0.000
In 0.143 0.643 0.500
P 0.000 0.000 0.000

Computed properties:
- Crystal system: tetragonal
- Energy above the lowest structure with this stoichiometry: 0.000 kcal/mol of atoms
- Raw total energy: -5.34 eV per atom
- Magnetic moment: 0.000 μB/f.u.
- Energy of formation: -0.577 eV/atom



B2C | GGA-PBE | optimized geometry

a b c (Å): 3.498 4.728 5.591
angles (deg): 65.51 78.09 75.71
Space group P1 (No. 1)
Asymmetric unit:
B 0.000 0.000 0.000
B 0.011 0.271 0.382
B 0.288 0.259 0.685
B 0.465 0.058 0.280
B 0.634 0.372 0.007
B 0.675 0.725 0.568
B 0.726 0.642 0.133
B 0.974 0.768 0.817
C 0.030 0.576 0.410
C 0.300 0.799 0.225
C 0.368 0.529 0.770
C 0.681 0.059 0.561

Computed properties:
- Crystal system: triclinic
- Energy above the lowest structure with this stoichiometry: 4.562 kcal/mol of atoms
- Raw total energy: -7.14 eV per atom
- Magnetic moment: 0.000 μB/f.u.
- Energy of formation: 0.383 eV/atom



SrTc2 | GGA-PBE | optimized geometry

a b c (Å): 4.146 19.643 4.156
angles (deg): 90.00 90.00 90.00
Space group Cmcm (No. 63)
Asymmetric unit:
Sr 0.000 0.166 0.250
Tc 0.000 0.035 0.750
Tc 0.000 0.465 0.750

Computed properties:
- Crystal system: orthorhombic
- Energy above the lowest structure with this stoichiometry: 3.807 kcal/mol of atoms
- Raw total energy: -6.99 eV per atom
- Magnetic moment: 0.000 μB/f.u.
- Energy of formation: 0.484 eV/atom



PrSm2NpS4 | GGA-PBE | optimized geometry

a b c (Å): 6.945 4.003 6.963
angles (deg): 90.00 109.32 90.00
Space group P2/m (No. 10)
Asymmetric unit:
Pr 0.000 0.000 0.000
Sm 0.500 0.000 0.500
Sm 0.500 0.500 0.000
Np 0.000 0.500 0.500
S 0.247 0.000 0.742
S 0.253 0.500 0.258

Computed properties:
- Crystal system: monoclinic
- Raw total energy: -7.31 eV per atom
- Magnetic moment: 4.495 μB/f.u.
- Energy relative to the elements, uncorrected: -1853 meV/atom



Sc2BeTl | GGA-PBE | optimized geometry

a b c (Å): 3.446 3.569 14.581
angles (deg): 90.00 90.00 90.00
Space group Immm (No. 71)
Asymmetric unit:
Sc 0.000 0.000 0.178
Be 0.000 0.000 0.000
Tl 0.000 0.000 0.500

Computed properties:
- Crystal system: orthorhombic
- Energy above the lowest structure with this stoichiometry: 13.648 kcal/mol of atoms
- Raw total energy: -4.24 eV per atom
- Magnetic moment: 0.637 μB/f.u.
- Energy of formation: 0.447 eV/atom



GeP2I | GGA-PBE | optimized geometry

a b c (Å): 6.827 6.827 6.827
angles (deg): 90.00 90.00 90.00
Space group Fm-3m (No. 225)
Asymmetric unit:
Ge 0.000 0.000 0.000
P 0.250 0.250 0.250
I 0.000 0.000 0.500

Computed properties:
- Crystal system: cubic
- Energy above the lowest structure with this stoichiometry: 8.761 kcal/mol of atoms
- Raw total energy: -3.33 eV per atom
- Magnetic moment: 0.000 μB/f.u.
- Energy relative to the elements, uncorrected: 916 meV/atom